No. 1
## HfRe2Ag (PBE)

Data for crystalline HfRe2Ag at its relaxed geometry.

Results
- Energy above the most stable polymorph in this dataset: 0.1519 eV/atom
- DOS(E_F): 0.78 states/eV per atom

```
HfRe2Ag
1.0
3.866 0.000 0.000
0.000 3.866 0.000
1.933 1.933 9.896
Re Hf Ag
4 2 2
Cartesian
2.899 3.060 7.422
1.127 2.899 2.474
2.738 0.966 2.474
4.832 4.671 7.422
0.000 0.000 0.000
3.866 1.933 4.948
1.933 1.933 0.000
1.933 3.866 4.948
```

No. 2
## Hf5Re4Ag (PBE)

Data for crystalline Hf5Re4Ag at its relaxed geometry.

Results
- DOS(E_F): 0.79 states/eV per atom

```
Hf5Re4Ag
1.0
3.293 0.000 0.000
0.000 3.293 0.000
0.000 0.000 16.761
Hf Re Ag
5 4 1
Cartesian
1.646 1.646 11.640
1.646 1.646 8.380
1.646 1.646 5.121
1.646 1.646 1.934
1.646 1.646 14.827
0.000 0.000 13.334
0.000 0.000 3.426
0.000 0.000 10.014
0.000 0.000 6.746
0.000 0.000 0.000
```

No. 3
## Hf2ReAg (PBE)

Data for crystalline Hf2ReAg at its relaxed geometry.

Results
- Energy above the most stable polymorph in this dataset: 0.0000 eV/atom
- DOS(E_F): 0.86 states/eV per atom

```
Hf2ReAg
1.0
3.327 0.000 0.000
0.000 3.327 0.000
0.000 0.000 6.805
Ag Hf Re
1 2 1
Cartesian
1.663 1.663 3.402
0.000 0.000 5.243
0.000 0.000 1.562
1.663 1.663 0.000
```

No. 4
## HfRe3Ag (PBE)

Data for crystalline HfRe3Ag at its relaxed geometry.

Results
- Energy above the most stable polymorph in this dataset: 0.0130 eV/atom
- DOS(E_F): 2.08 states/eV per atom

```
HfRe3Ag
1.0
4.719 0.000 0.000
0.000 4.719 0.000
0.000 0.000 4.719
Re Ag Hf
3 1 1
Cartesian
0.000 2.359 0.000
0.000 0.000 2.359
2.359 0.000 0.000
0.000 0.000 0.000
2.359 2.359 2.359
```

Computed calculated formation energy, in the same sequence as the records: 0.7433; -0.2967; -0.2405; 2.5576 eV/atom.
Computed calculated density, in the same sequence as the records: 14.80; 15.95; 14.35; 13.36 g/cm³.
Computed total DFT energy (no corrections), in the same sequence as the records: -34.73; -105.38; -36.17; -37.36 eV per formula unit.